#P
This record from Alexandria via LeMat-Bulk describes a crystal of Mg3Au relaxed with PBEsol. The functional is SCAN.

Calculated values
spin magnetization: 0.00 μB per formula unit

abc: 8.0292 8.0292 8.4916
angles: 90.00 90.00 120.00
Last column: nearest neighbours and their distance in Å.
Sites, in units of the cell vectors:
Au1 0.6720 0.6720 0.9287  8 Mg 2.70-2.86
Au2 0.0000 0.3280 0.9287  8 Mg 2.70-2.86
Au3 0.3280 0.0000 0.9287  8 Mg 2.70-2.86
Au4 0.3280 0.3280 0.4287  8 Mg 2.70-2.86
Au5 0.0000 0.6720 0.4287  8 Mg 2.70-2.86
Au6 0.6720 0.0000 0.4287  8 Mg 2.70-2.86
Mg1 0.6246 0.6246 0.6001  2 Au 2.79-2.82, 4 Mg 3.01-3.07
Mg2 0.0000 0.3754 0.6001  2 Au 2.79-2.82, 4 Mg 3.01-3.07
Mg3 0.3754 0.0000 0.6001  2 Au 2.79-2.82, 4 Mg 3.01-3.07
Mg4 0.3754 0.3754 0.1001  2 Au 2.79-2.82, 4 Mg 3.01-3.07
Mg5 0.0000 0.6246 0.1001  2 Au 2.79-2.82, 4 Mg 3.01-3.07
Mg6 0.6246 0.0000 0.1001  2 Au 2.79-2.82, 4 Mg 3.01-3.07
Mg7 0.2803 0.2803 0.7568  3 Au 2.81-2.86, 8 Mg 3.01-3.14
Mg8 0.0000 0.7197 0.7568  3 Au 2.81-2.86, 8 Mg 3.01-3.14
Mg9 0.7197 0.0000 0.7568  3 Au 2.81-2.86, 8 Mg 3.01-3.14
Mg10 0.7197 0.7197 0.2568  3 Au 2.81-2.86, 8 Mg 3.01-3.14
Mg11 0.0000 0.2803 0.2568  3 Au 2.81-2.86, 8 Mg 3.01-3.14
Mg12 0.2803 0.0000 0.2568  3 Au 2.81-2.86, 8 Mg 3.01-3.14
Mg13 0.6667 0.3333 0.8816  3 Au 2.73
Mg14 0.3333 0.6667 0.3816  3 Au 2.73
Mg15 0.6667 0.3333 0.3816  3 Au 2.73
Mg16 0.3333 0.6667 0.8816  3 Au 2.73
Mg17 0.0000 0.0000 0.9984  3 Au 2.70
Mg18 0.0000 0.0000 0.4984  3 Au 2.70


#Q
This record from Alexandria via LeMat-Bulk describes a crystal of Mg3Au relaxed with PBEsol. The functional is SCAN.

Calculated values
spin magnetization: 0.04 μB per formula unit

abc: 3.4405 3.5607 6.3003
angles: 90.00 90.00 90.00
Last column: nearest neighbours and their distance in Å.
Sites, in units of the cell vectors:
Mg1 0.5000 0.5000 0.7750  5 Mg 2.84-3.02, 4 Au 2.85
Mg2 0.0000 0.0000 0.5000  8 Mg 3.02, 2 Au 3.15
Mg3 0.5000 0.5000 0.2250  5 Mg 2.84-3.02, 4 Au 2.85
Au1 0.0000 0.0000 0.0000  10 Mg 2.85-3.15


Calculated relative energies: #P 0.0; #Q 16.1, given in kJ/mol of atoms


#P
This record from Alexandria via LeMat-Bulk describes a crystal of Ca2SiSe relaxed with PBEsol. The functional is SCAN.

Calculated values
spin magnetization: 0.00 μB per formula unit

abc: 3.5325 5.1186 5.1186
angles: 99.24 90.00 90.00
Last column: nearest neighbours and their distance in Å.
Sites, in units of the cell vectors:
Ca1 0.0000 0.0000 0.5000  4 Se 3.11, 4 Si 3.11, 2 Ca 3.32
Ca2 0.0000 0.5000 0.0000  4 Si 3.11, 4 Se 3.11, 2 Ca 3.32
Se1 0.5000 0.5000 0.5000  8 Ca 3.11, 2 Si 3.32
Si1 0.5000 0.0000 0.0000  8 Ca 3.11, 2 Se 3.32


#Q
This record from Alexandria via LeMat-Bulk describes a crystal of Ca2SiSe relaxed with PBEsol. The functional is SCAN.

Calculated values
spin magnetization: 0.00 μB per formula unit

abc: 3.5219 5.1159 5.1395
angles: 90.00 90.00 90.00
Last column: nearest neighbours and their distance in Å.
Sites, in units of the cell vectors:
Ca1 0.1250 0.5000 0.0000  4 Se 3.11, 4 Si 3.12
Ca2 0.1250 0.0000 0.5000  4 Si 3.11, 4 Se 3.12
Se1 0.6251 0.0000 0.0000  8 Ca 3.11-3.12
Si1 0.6250 0.5000 0.5000  8 Ca 3.11-3.12


Calculated relative energies: #P 0.0; #Q 3.5, given in kJ/mol of atoms


#P
This record from Alexandria via LeMat-Bulk describes a crystal of SiB2Te relaxed with PBEsol. The functional is SCAN.

Calculated values
spin magnetization: 0.00 μB per formula unit

abc: 4.9592 4.9592 6.0835
angles: 114.05 114.05 90.00
Last column: nearest neighbours and their distance in Å.
Sites, in units of the cell vectors:
Si1 0.7500 0.2500 0.5000  4 B 2.05
Si2 0.5000 0.5000 0.0000  4 B 2.05
Te1 0.2500 0.7500 0.5000  4 B 2.26
Te2 0.0000 0.0000 0.0000  4 B 2.26
B1 0.4119 0.8750 0.2500  2 Si 2.05, 2 Te 2.26
B2 0.8381 0.3750 0.2500  2 Si 2.05, 2 Te 2.26
B3 0.1250 0.1619 0.7500  2 Si 2.05, 2 Te 2.26
B4 0.6250 0.5881 0.7500  2 Si 2.05, 2 Te 2.26


#Q
This record from Alexandria via LeMat-Bulk describes a crystal of SiB2Te relaxed with PBEsol. The functional is SCAN.

Calculated values
spin magnetization: 0.00 μB per formula unit

abc: 4.1957 4.1957 4.1957
angles: 60.00 60.00 60.00
Last column: nearest neighbours and their distance in Å.
Sites, in units of the cell vectors:
Si1 0.0000 0.0000 0.0000  8 B 2.57
Te1 0.5000 0.5000 0.5000  8 B 2.57
B1 0.2500 0.2500 0.2500  4 Te 2.57, 4 Si 2.57
B2 0.7500 0.7500 0.7500  4 Te 2.57, 4 Si 2.57


Calculated relative energies: #P 0.0; #Q 144.3, given in kJ/mol of atoms


#P
This record from Alexandria via LeMat-Bulk describes a crystal of MgAgRh relaxed with PBEsol. The functional is SCAN.

Calculated values
spin magnetization: 0.00 μB per formula unit

abc: 2.7823 2.7823 6.7771
angles: 97.31 97.31 112.32
Last column: nearest neighbours and their distance in Å.
Sites, in units of the cell vectors:
Ag1 0.9988 0.9988 0.9977  2 Rh 2.74, 2 Mg 2.78, 4 Ag 2.78
Mg1 0.6739 0.6739 0.3478  2 Rh 2.55, 2 Ag 2.78, 4 Mg 2.78
Rh1 0.3272 0.3272 0.6545  2 Mg 2.55, 2 Ag 2.74, 4 Rh 2.78


#Q
This record from Alexandria via LeMat-Bulk describes a crystal of MgAgRh relaxed with PBEsol. The functional is SCAN.

Calculated values
spin magnetization: 0.00 μB per formula unit

abc: 4.2141 4.2141 4.2141
angles: 60.00 60.00 60.00
Last column: nearest neighbours and their distance in Å.
Sites, in units of the cell vectors:
Ag1 0.5000 0.5000 0.5000  4 Mg 2.58
Mg1 0.7500 0.7500 0.7500  4 Rh 2.58, 4 Ag 2.58
Rh1 0.0000 0.0000 0.0000  4 Mg 2.58


Calculated relative energies: #P 0.0; #Q 28.1, given in kJ/mol of atoms


#P
This record from Alexandria via LeMat-Bulk describes a crystal of Y2ScRe relaxed with PBEsol. The functional is SCAN.

Calculated values
spin magnetization: 0.00 μB per formula unit

abc: 3.2766 4.5316 6.2271
angles: 90.00 103.80 90.00
Last column: nearest neighbours and their distance in Å.
Sites, in units of the cell vectors:
Re1 0.5000 0.5000 0.0000  4 Y 2.82, 2 Sc 3.11
Sc1 0.5000 0.5000 0.5000  2 Re 3.11, 8 Y 3.21-3.30, 2 Sc 3.28
Y1 0.0965 0.0000 0.7746  2 Re 2.82, 1 Y 3.02
Y2 0.9035 0.0000 0.2254  2 Re 2.82, 1 Y 3.02


#Q
This record from Alexandria via LeMat-Bulk describes a crystal of Y2ScRe relaxed with PBEsol. The functional is SCAN.

Calculated values
spin magnetization: 0.00 μB per formula unit

abc: 3.3007 3.3007 10.2147
angles: 80.70 80.70 60.00
Last column: nearest neighbours and their distance in Å.
Sites, in units of the cell vectors:
Re1 0.5033 0.5033 0.4900  3 Sc 2.68, 3 Y 2.84
Sc1 0.2328 0.2328 0.3017  3 Re 2.68
Y1 0.9971 0.9971 0.0086  9 Y 3.30-3.64, 3 Sc 3.50
Y2 0.7668 0.7668 0.6997  3 Re 2.84


Calculated relative energies: #P 2.5; #Q 0.0, given in kJ/mol of atoms


#P
This record from Alexandria via LeMat-Bulk describes a crystal of SiTc2Hg relaxed with PBEsol. The functional is SCAN.

Calculated values
spin magnetization: 0.00 μB per formula unit

abc: 2.9131 4.1934 5.2497
angles: 90.00 106.08 90.00
Last column: nearest neighbours and their distance in Å.
Sites, in units of the cell vectors:
Hg1 0.0707 0.0000 0.5169  3 Tc 2.62-2.83, 4 Si 2.88, 2 Hg 2.91
Si1 0.7036 0.5000 0.7815  4 Tc 2.36-2.59
Tc1 0.8108 0.0000 0.9965  2 Si 2.36, 1 Hg 2.62
Tc2 0.4149 0.5000 0.2051  2 Si 2.59, 4 Tc 2.76


#Q
This record from Alexandria via LeMat-Bulk describes a crystal of SiTc2Hg relaxed with PBEsol. The functional is SCAN.

Calculated values
spin magnetization: 0.00 μB per formula unit

abc: 2.8040 2.8040 8.4273
angles: 90.00 90.00 113.20
Last column: nearest neighbours and their distance in Å.
Sites, in units of the cell vectors:
Hg1 0.5000 0.5000 0.5000  6 Hg 2.80-3.09, 4 Tc 2.86
Si1 0.5000 0.5000 0.0000  4 Tc 2.37
Tc1 0.0000 0.0000 0.2141  2 Si 2.37
Tc2 0.0000 0.0000 0.7859  2 Si 2.37


Calculated relative energies: #P 4.5; #Q 0.0, given in kJ/mol of atoms


#P
This record from Alexandria via LeMat-Bulk describes a crystal of CaTa2Tl relaxed with PBEsol. The functional is SCAN.

Calculated values
spin magnetization: 0.00 μB per formula unit

abc: 3.3219 4.7958 5.2076
angles: 90.00 90.00 90.00
Last column: nearest neighbours and their distance in Å.
Sites, in units of the cell vectors:
Tl1 0.5000 0.0000 0.5000  4 Ca 2.92, 4 Ta 3.09
Ca1 0.0000 0.5000 0.5000  4 Tl 2.92, 4 Ta 3.09
Ta1 0.0000 0.0000 0.0000  4 Ta 2.92, 4 Tl 3.09
Ta2 0.5000 0.5000 0.0000  4 Ta 2.92, 4 Ca 3.09


#Q
This record from Alexandria via LeMat-Bulk describes a crystal of CaTa2Tl relaxed with PBEsol. The functional is SCAN.

Calculated values
spin magnetization: 0.00 μB per formula unit

abc: 3.2242 5.3081 5.9854
angles: 116.32 105.62 90.00
Last column: nearest neighbours and their distance in Å.
Sites, in units of the cell vectors:
Tl1 0.5192 0.5192 0.0384  6 Ta 3.00-3.15, 2 Tl 3.22, 2 Ca 3.23
Ca1 0.7453 0.2453 0.4906  6 Ta 3.11-3.25, 2 Ca 3.22, 2 Tl 3.23
Ta1 0.9696 0.9696 0.9391  2 Ta 2.63
Ta2 0.2660 0.7660 0.5319  2 Ta 2.63


Calculated relative energies: #P 0.0; #Q 2.6, given in kJ/mol of atoms


#P
This record from Alexandria via LeMat-Bulk describes a crystal of FeIr2W relaxed with PBEsol. The functional is SCAN.

Calculated values
spin magnetization: 2.76 μB per formula unit

abc: 2.7210 3.7452 5.4050
angles: 90.00 90.00 90.00
Last column: nearest neighbours and their distance in Å.
Sites, in units of the cell vectors:
Ir1 0.0000 0.0000 0.7409  4 Ir 2.60-2.80, 4 Fe 2.66, 4 W 2.71
Ir2 0.0000 0.0000 0.2591  4 Ir 2.60-2.80, 4 Fe 2.66, 4 W 2.71
Fe1 0.5000 0.5000 0.5000  8 Ir 2.66, 2 W 2.70, 2 Fe 2.72
W1 0.5000 0.5000 0.0000  2 Fe 2.70, 8 Ir 2.71, 2 W 2.72


#Q
This record from Alexandria via LeMat-Bulk describes a crystal of FeIr2W relaxed with PBEsol. The functional is SCAN.

Calculated values
spin magnetization: 2.63 μB per formula unit

abc: 3.8225 3.8225 4.6251
angles: 114.41 114.41 90.00
Last column: nearest neighbours and their distance in Å.
Sites, in units of the cell vectors:
Ir1 0.7500 0.2500 0.5000  4 Fe 2.68, 4 W 2.68, 4 Ir 2.70
Ir2 0.2500 0.7500 0.5000  4 Fe 2.68, 4 W 2.68, 4 Ir 2.70
Fe1 0.5000 0.5000 0.0000  8 Ir 2.68, 4 W 2.70
W1 0.0000 0.0000 0.0000  8 Ir 2.68, 4 Fe 2.70


Calculated relative energies: #P 2.2; #Q 0.0, given in kJ/mol of atoms